DFT (PBE) results for a geometry-optimized La4Pr8Mg structure.

```
data_La4Pr8Mg
_cell_length_a 11.8625
_cell_length_b 11.8625
_cell_length_c 11.8689
_cell_angle_alpha 90.00
_cell_angle_beta 90.00
_cell_angle_gamma 120.00
_space_group_name_H-M_alt 'R -3 m'
_space_group_IT_number 166
_space_group_name_Hall '-R 3 2"'
loop_
_atom_site_label
_atom_site_type_symbol
_atom_site_fract_x
_atom_site_fract_y
_atom_site_fract_z
La1 La 0.0000 0.0000 0.0000
La2 La 0.0000 0.5000 0.0000
Pr1 Pr 0.0000 0.0000 0.2400
Pr2 Pr 0.0027 0.5014 0.6634
Mg1 Mg 0.0000 0.0000 0.5000
```

Results
Energy of formation from the pure elements: 0.34 eV/atom
D(E_F): 71.91 states/eV per cell

DFT (PBE) results for a geometry-optimized NaSr2Sm structure.

```
data_NaSr2Sm
_cell_length_a 3.9886
_cell_length_b 3.9886
_cell_length_c 38.5042
_cell_angle_alpha 90.00
_cell_angle_beta 90.00
_cell_angle_gamma 120.00
_space_group_name_H-M_alt 'R 3 m'
_space_group_IT_number 160
_space_group_name_Hall 'R 3 -2"'
loop_
_atom_site_label
_atom_site_type_symbol
_atom_site_fract_x
_atom_site_fract_y
_atom_site_fract_z
Na1 Na 0.0000 0.0000 0.0000
Sr1 Sr 0.0000 0.0000 0.4194
Sr2 Sr 0.0000 0.0000 0.5804
Sm1 Sm 0.0000 0.0000 0.1665
```

Results
Energy of formation from the pure elements: 0.13 eV/atom
D(E_F): 13.10 states/eV per cell
ΔE to the lowest computed polymorph: 14.0 meV per atom

DFT (PBE) results for a geometry-optimized Ir2PbCl structure.

```
data_Ir2PbCl
_cell_length_a 4.2929
_cell_length_b 4.2929
_cell_length_c 7.7691
_cell_angle_alpha 90.00
_cell_angle_beta 90.00
_cell_angle_gamma 90.00
_space_group_name_H-M_alt 'I 4/m m m'
_space_group_IT_number 139
_space_group_name_Hall '-I 4 2'
loop_
_atom_site_label
_atom_site_type_symbol
_atom_site_fract_x
_atom_site_fract_y
_atom_site_fract_z
Ir1 Ir 0.0000 0.5000 0.2500
Pb1 Pb 0.0000 0.0000 0.0000
Cl1 Cl 0.0000 0.0000 0.5000
```

Results
Formation energy without anion corrections: 21.6 kcal/mol of atoms
D(E_F): 8.50 states/eV per cell
ΔE to the lowest computed polymorph: 739.9 meV per atom

DFT (PBE) results for a geometry-optimized Rb3IBr structure.

```
data_Rb3IBr
_cell_length_a 6.7116
_cell_length_b 6.7116
_cell_length_c 6.7116
_cell_angle_alpha 90.00
_cell_angle_beta 90.00
_cell_angle_gamma 90.00
_space_group_name_H-M_alt 'P m -3 m'
_space_group_IT_number 221
_space_group_name_Hall '-P 4 2 3'
loop_
_atom_site_label
_atom_site_type_symbol
_atom_site_fract_x
_atom_site_fract_y
_atom_site_fract_z
Rb1 Rb 0.0000 0.0000 0.5000
I1 I 0.5000 0.5000 0.5000
Br1 Br 0.0000 0.0000 0.0000
```

Results
Formation energy without anion corrections: -25.0 kcal/mol of atoms
D(E_F): 1.58 states/eV per cell
ΔE to the lowest computed polymorph: 0.0 meV per atom